[1]
VASP calculation (GGA-PBE) on a relaxed CrFe2Sb crystal. Values from VASP.

Space group = P4/mmm, No. 123
Fermi-level density of states = 3.454 states/eV per cell
Magnetization = 6.4 μB per formula unit
E_form (uncorrected) = 0.78 eV/f.u.

```
&SYSTEM
  ibrav = 0, nat = 4, ntyp = 3
/
ATOMIC_SPECIES
Cr 52.00 Cr.upf
Fe 55.84 Fe.upf
Sb 121.76 Sb.upf
ATOMIC_POSITIONS angstrom
Cr 0.0000 0.0000 0.0000
Fe 0.0000 1.9063 1.9309
Fe 1.9063 0.0000 1.9309
Sb 1.9063 1.9063 0.0000
CELL_PARAMETERS angstrom
3.8126 0.0000 0.0000
0.0000 3.8126 0.0000
0.0000 0.0000 3.8617
```


[2]
VASP calculation (GGA-PBE) on a relaxed YPd4Pb crystal. Values from VASP.

Space group = C2/m, No. 12
Energy relative to the elements = -3.21 eV/f.u.
Fermi-level density of states = 3.377 states/eV per cell
Magnetization = 0.0 μB per formula unit
Distance to the lowest polymorph of the same formula = 0.08 eV per formula unit

```
&SYSTEM
  ibrav = 0, nat = 6, ntyp = 3
/
ATOMIC_SPECIES
Y 88.91 Y.upf
Pd 106.42 Pd.upf
Pb 207.20 Pb.upf
ATOMIC_POSITIONS angstrom
Y 0.0000 0.0000 0.0000
Pd 2.0130 2.9870 2.4621
Pd 2.5089 1.5105 0.0000
Pd 2.5089 -1.5105 0.0000
Pd 2.0130 -2.9870 2.4621
Pb 2.0130 0.0000 2.4621
CELL_PARAMETERS angstrom
2.5089 -4.5176 0.0000
2.5089 4.5176 0.0000
-0.9919 0.0000 4.9241
```


[3]
VASP calculation (GGA-PBE) on a relaxed Ca2TaTe crystal. Values from VASP.

Space group = R3m, No. 160
Fermi-level density of states = 3.065 states/eV per cell
Magnetization = 0.6 μB per formula unit
E_form (uncorrected) = 0.27 eV/f.u.

```
&SYSTEM
  ibrav = 0, nat = 4, ntyp = 3
/
ATOMIC_SPECIES
Ca 40.08 Ca.upf
Ta 180.95 Ta.upf
Te 127.60 Te.upf
ATOMIC_POSITIONS angstrom
Ca 0.0000 0.0000 0.0000
Ca 0.0000 0.0000 6.7835
Ta 0.0000 0.0000 14.3960
Te 0.0000 0.0000 22.6988
CELL_PARAMETERS angstrom
1.8316 1.0575 10.1253
-1.8316 1.0575 10.1253
0.0000 -2.1150 10.1253
```


[4]
VASP calculation (GGA-PBE) on a relaxed Ce2Ga5Ni5 crystal. Values from VASP.

Space group = Pmmm, No. 47
Energy relative to the elements = -6.42 eV/f.u.
Fermi-level density of states = 11.356 states/eV per cell
Magnetization = 0.0 μB per formula unit

```
&SYSTEM
  ibrav = 0, nat = 12, ntyp = 3
/
ATOMIC_SPECIES
Ce 140.12 Ce.upf
Ga 69.72 Ga.upf
Ni 58.69 Ni.upf
ATOMIC_POSITIONS angstrom
Ce 0.0000 0.0000 0.0000
Ce 0.0000 2.6052 4.4238
Ga 2.0476 0.0000 4.4238
Ga 2.0476 1.3039 2.0957
Ga 2.0476 1.3039 6.7518
Ga 2.0476 3.9065 2.0957
Ga 2.0476 3.9065 6.7518
Ni 0.0000 0.0000 2.9674
Ni 0.0000 0.0000 5.8802
Ni 0.0000 2.6052 1.5183
Ni 0.0000 2.6052 7.3292
Ni 2.0476 2.6052 0.0000
CELL_PARAMETERS angstrom
4.0952 0.0000 0.0000
0.0000 5.2104 0.0000
0.0000 0.0000 8.8475
```


[5]
VASP calculation (GGA-PBE) on a relaxed TiPbI2N crystal. Values from VASP.

Space group = P4/mmm, No. 123
Fermi-level density of states = 3.537 states/eV per cell
Magnetization = 0.5 μB per formula unit
E_form (uncorrected) = -0.92 eV/f.u.
Distance to the lowest polymorph of the same formula = 0.00 eV per formula unit

```
&SYSTEM
  ibrav = 0, nat = 5, ntyp = 4
/
ATOMIC_SPECIES
Ti 47.87 Ti.upf
Pb 207.20 Pb.upf
I 126.90 I.upf
N 14.01 N.upf
ATOMIC_POSITIONS angstrom
Ti 0.0000 0.0000 0.0000
Pb 2.9414 2.9414 1.9117
I 0.0000 2.9414 0.0000
I 2.9414 0.0000 0.0000
N 0.0000 0.0000 1.9117
CELL_PARAMETERS angstrom
5.8829 0.0000 0.0000
0.0000 5.8829 0.0000
0.0000 0.0000 3.8234
```


[6]
VASP calculation (GGA-PBE) on a relaxed BeSnPt2Se crystal. Values from VASP.

Space group = P4/mmm, No. 123
Fermi-level density of states = 1.051 states/eV per cell
Magnetization = 0.0 μB per formula unit
E_form (uncorrected) = 1.01 eV/f.u.

```
&SYSTEM
  ibrav = 0, nat = 5, ntyp = 4
/
ATOMIC_SPECIES
Be 9.01 Be.upf
Sn 118.71 Sn.upf
Pt 195.08 Pt.upf
Se 78.96 Se.upf
ATOMIC_POSITIONS angstrom
Be 0.0000 0.0000 0.0000
Sn 0.0000 0.0000 2.4718
Pt 0.0000 2.1612 0.0000
Pt 2.1612 0.0000 0.0000
Se 2.1612 2.1612 2.4718
CELL_PARAMETERS angstrom
4.3225 0.0000 0.0000
0.0000 4.3225 0.0000
0.0000 0.0000 4.9437
```


[7]
VASP calculation (GGA-PBE) on a relaxed V2GeH2 crystal. Values from VASP.

Space group = I4/mmm, No. 139
Fermi-level density of states = 3.983 states/eV per cell
Magnetization = 0.0 μB per formula unit
Distance to the lowest polymorph of the same formula = 0.53 eV per formula unit

```
&SYSTEM
  ibrav = 0, nat = 5, ntyp = 3
/
ATOMIC_SPECIES
V 50.94 V.upf
Ge 72.64 Ge.upf
H 1.01 H.upf
ATOMIC_POSITIONS angstrom
V 1.7989 0.0000 1.9693
V 0.0000 1.7989 1.9693
Ge 0.0000 0.0000 0.0000
H 0.0000 0.0000 2.6624
H 0.0000 0.0000 5.2148
CELL_PARAMETERS angstrom
-1.7989 1.7989 3.9386
1.7989 -1.7989 3.9386
1.7989 1.7989 -3.9386
```


[8]
VASP calculation (GGA-PBE) on a relaxed MgZrSi crystal. Values from VASP.

Space group = P4/nmm, No. 129
Fermi-level density of states = 1.957 states/eV per cell
Magnetization = 0.0 μB per formula unit
E_form (uncorrected) = -0.97 eV/f.u.

```
&SYSTEM
  ibrav = 0, nat = 6, ntyp = 3
/
ATOMIC_SPECIES
Mg 24.30 Mg.upf
Zr 91.22 Zr.upf
Si 28.09 Si.upf
ATOMIC_POSITIONS angstrom
Mg 0.9451 0.9451 0.7116
Mg 2.8354 2.8354 8.2723
Zr 0.9451 0.9451 5.9109
Zr 2.8354 2.8354 3.0730
Si 0.9451 0.9451 3.2541
Si 2.8354 2.8354 5.7298
CELL_PARAMETERS angstrom
3.7805 0.0000 0.0000
0.0000 3.7805 0.0000
0.0000 0.0000 8.9838
```


[9]
VASP calculation (GGA-PBE) on a relaxed TbCeSn2 crystal. Values from VASP.

Space group = P4/mmm, No. 123
Energy relative to the elements = -2.46 eV/f.u.
Fermi-level density of states = 7.666 states/eV per cell
Magnetization = 0.8 μB per formula unit

```
&SYSTEM
  ibrav = 0, nat = 4, ntyp = 3
/
ATOMIC_SPECIES
Tb 158.93 Tb.upf
Ce 140.12 Ce.upf
Sn 118.71 Sn.upf
ATOMIC_POSITIONS angstrom
Tb 0.0000 0.0000 0.0000
Ce 2.4701 2.4701 0.0000
Sn 0.0000 2.4701 2.2280
Sn 2.4701 0.0000 2.2280
CELL_PARAMETERS angstrom
4.9402 0.0000 0.0000
0.0000 4.9402 0.0000
0.0000 0.0000 4.4561
```


[10]
VASP calculation (GGA-PBE) on a relaxed LiGaSe crystal. Values from VASP.

Space group = C2/m, No. 12
Fermi-level density of states = 0.054 states/eV per cell
Magnetization = 0.0 μB per formula unit
E_form (uncorrected) = -2.18 eV/f.u.
Distance to the lowest polymorph of the same formula = 0.14 eV per formula unit

```
&SYSTEM
  ibrav = 0, nat = 6, ntyp = 3
/
ATOMIC_SPECIES
Li 6.94 Li.upf
Ga 69.72 Ga.upf
Se 78.96 Se.upf
ATOMIC_POSITIONS angstrom
Li 2.7741 3.3863 0.0000
Li 2.7741 -3.3863 0.0000
Ga -0.2282 0.0000 2.4689
Ga 3.0646 0.0000 1.2013
Se 1.4182 1.9569 1.8351
Se 1.4182 -1.9569 1.8351
CELL_PARAMETERS angstrom
2.7741 -6.4277 0.0000
2.7741 6.4277 0.0000
-2.7119 0.0000 3.6702
```


[11]
VASP calculation (GGA-PBE) on a relaxed La3ZrCu crystal. Values from VASP.

Space group = Pm-3m, No. 221
Energy relative to the elements = 2.20 eV/f.u.
Fermi-level density of states = 10.620 states/eV per cell
Magnetization = 0.0 μB per formula unit
Distance to the lowest polymorph of the same formula = 0.00 eV per formula unit

```
&SYSTEM
  ibrav = 0, nat = 5, ntyp = 3
/
ATOMIC_SPECIES
La 138.91 La.upf
Zr 91.22 Zr.upf
Cu 63.55 Cu.upf
ATOMIC_POSITIONS angstrom
La 0.0000 0.0000 2.7630
La 0.0000 2.7630 0.0000
La 2.7630 0.0000 0.0000
Zr 2.7630 2.7630 2.7630
Cu 0.0000 0.0000 0.0000
CELL_PARAMETERS angstrom
5.5260 0.0000 0.0000
0.0000 5.5260 0.0000
0.0000 0.0000 5.5260
```


[12]
VASP calculation (GGA-PBE) on a relaxed YCo2Br crystal. Values from VASP.

Space group = P4/mmm, No. 123
Fermi-level density of states = 2.350 states/eV per cell
Magnetization = 2.2 μB per formula unit
E_form (uncorrected) = 0.50 eV/f.u.
Distance to the lowest polymorph of the same formula = 1.68 eV per formula unit

```
&SYSTEM
  ibrav = 0, nat = 4, ntyp = 3
/
ATOMIC_SPECIES
Y 88.91 Y.upf
Co 58.93 Co.upf
Br 79.90 Br.upf
ATOMIC_POSITIONS angstrom
Y 0.0000 0.0000 0.0000
Co 1.8754 1.8754 1.0796
Co 1.8754 1.8754 4.7996
Br 0.0000 0.0000 2.9396
CELL_PARAMETERS angstrom
3.7508 0.0000 0.0000
0.0000 3.7508 0.0000
0.0000 0.0000 5.8791
```


[13]
VASP calculation (GGA-PBE) on a relaxed KErNpO6 crystal. Values from VASP.

Space group = P4_2nm, No. 102
Fermi-level density of states = 9.407 states/eV per cell
Magnetization = 1.1 μB per formula unit
E_form (uncorrected) = -22.13 eV/f.u.

```
&SYSTEM
  ibrav = 0, nat = 18, ntyp = 4
/
ATOMIC_SPECIES
K 39.10 K.upf
Er 167.26 Er.upf
Np 237.00 Np.upf
O 16.00 O.upf
ATOMIC_POSITIONS angstrom
K 0.0000 0.0000 0.0000
K 2.6692 2.6692 5.2291
Er 0.0000 0.0000 6.9942
Er 2.6692 2.6692 1.7651
Np 0.0000 0.0000 3.5261
Np 2.6692 2.6692 8.7552
O 0.8763 0.8763 5.0930
O 1.0987 1.0987 2.2269
O 1.2356 1.2356 8.4344
O 1.4336 3.9048 3.2053
O 1.5705 3.7679 7.4560
O 1.7929 3.5455 10.3220
O 3.5455 1.7929 10.3220
O 3.7679 1.5705 7.4560
O 3.9048 1.4336 3.2053
O 4.1028 4.1028 8.4344
O 4.2397 4.2397 2.2269
O 4.4621 4.4621 5.0930
CELL_PARAMETERS angstrom
5.3384 0.0000 0.0000
0.0000 5.3384 0.0000
0.0000 0.0000 10.4581
```


[14]
VASP calculation (GGA-PBE) on a relaxed H3Rh2Pb2 crystal. Values from VASP.

Space group = P-1, No. 2
VASP energy = -4.606 eV per atom
Fermi-level density of states = 2.251 states/eV per cell
Magnetization = 0.0 μB per formula unit

```
&SYSTEM
  ibrav = 0, nat = 7, ntyp = 3
/
ATOMIC_SPECIES
H 1.01 H.upf
Rh 102.91 Rh.upf
Pb 207.20 Pb.upf
ATOMIC_POSITIONS angstrom
H 0.0000 0.0000 0.0000
H 0.0122 0.0079 3.2871
H 0.0110 4.1036 2.0827
Rh -1.7369 4.3820 1.5458
Rh 1.7602 -0.2705 3.8240
Pb -1.7321 2.5833 4.3104
Pb 1.7553 1.5282 1.0594
CELL_PARAMETERS angstrom
3.5061 0.0000 0.0000
-1.7507 5.1399 0.0000
-1.7322 -1.0285 5.3698
```


[15]
VASP calculation (GGA-PBE) on a relaxed Er5Ga2Se2 crystal. Values from VASP.

Space group = Cmce, No. 64
Fermi-level density of states = 18.574 states/eV per cell
Magnetization = 0.0 μB per formula unit
E_form (uncorrected) = -9.26 eV/f.u.

```
&SYSTEM
  ibrav = 0, nat = 18, ntyp = 3
/
ATOMIC_SPECIES
Er 167.26 Er.upf
Ga 69.72 Ga.upf
Se 78.96 Se.upf
ATOMIC_POSITIONS angstrom
Er 0.0000 0.0000 0.0000
Er 5.3250 2.5087 5.0558
Er 5.3250 1.2780 1.2467
Er 9.3580 2.5087 5.0558
Er 9.3580 1.2780 1.2467
Er 7.3415 0.0000 3.8091
Er 5.3250 -1.2780 6.3715
Er 5.3250 -2.5087 2.5624
Er 9.3580 -1.2780 6.3715
Er 9.3580 -2.5087 2.5624
Ga 7.3415 2.8289 2.8647
Ga 7.3415 0.9578 6.6738
Ga 7.3415 -0.9578 0.9444
Ga 7.3415 -2.8289 4.7535
Se 2.9316 0.0000 0.0000
Se 4.4099 0.0000 3.8091
Se 10.2731 0.0000 3.8091
Se 11.7514 0.0000 0.0000
CELL_PARAMETERS angstrom
7.3415 -3.7868 0.0000
7.3415 3.7868 0.0000
0.0000 0.0000 7.6182
```


[16]
VASP calculation (GGA-PBE) on a relaxed TmThOsAu crystal. Values from VASP.

Space group = F-43m, No. 216
Energy relative to the elements = -1.76 eV/f.u.
Fermi-level density of states = 2.462 states/eV per cell
Magnetization = 0.0 μB per formula unit

```
&SYSTEM
  ibrav = 0, nat = 4, ntyp = 4
/
ATOMIC_SPECIES
Tm 168.93 Tm.upf
Th 232.04 Th.upf
Os 190.23 Os.upf
Au 196.97 Au.upf
ATOMIC_POSITIONS angstrom
Tm 0.0000 0.0000 0.0000
Th 3.5591 3.5591 3.5591
Os 1.7796 1.7796 1.7796
Au 5.3387 5.3387 5.3387
CELL_PARAMETERS angstrom
0.0000 3.5591 3.5591
3.5591 0.0000 3.5591
3.5591 3.5591 0.0000
```


[17]
VASP calculation (GGA-PBE) on a relaxed AgB crystal. Values from VASP.

Space group = Fm-3m, No. 225
Energy relative to the elements = 2.81 eV/f.u.
Fermi-level density of states = 1.302 states/eV per cell
Magnetization = 0.0 μB per formula unit
Distance to the lowest polymorph of the same formula = 2.06 eV per formula unit

```
&SYSTEM
  ibrav = 0, nat = 2, ntyp = 2
/
ATOMIC_SPECIES
Ag 107.87 Ag.upf
B 10.81 B.upf
ATOMIC_POSITIONS angstrom
Ag 0.0000 0.0000 0.0000
B 2.3722 2.3722 2.3722
CELL_PARAMETERS angstrom
0.0000 2.3722 2.3722
2.3722 0.0000 2.3722
2.3722 2.3722 0.0000
```


[18]
VASP calculation (GGA-PBE) on a relaxed Sr2TlHgO5 crystal. Values from VASP.

Space group = Cmc2_1, No. 36
Fermi-level density of states = 7.227 states/eV per cell
Magnetization = 0.8 μB per formula unit
E_form (uncorrected) = -12.64 eV/f.u.

```
&SYSTEM
  ibrav = 0, nat = 18, ntyp = 4
/
ATOMIC_SPECIES
Sr 87.62 Sr.upf
Tl 204.38 Tl.upf
Hg 200.59 Hg.upf
O 16.00 O.upf
ATOMIC_POSITIONS angstrom
Sr 1.7745 5.8930 5.6985
Sr 1.7745 5.1376 1.4631
Sr 1.7745 -5.1376 7.1616
Sr 1.7745 -5.8930 0.0000
Tl 1.7745 3.9543 9.8310
Tl 1.7745 -3.9543 4.1325
Hg 1.7745 0.5379 3.1958
Hg 1.7745 -0.5379 8.8943
O 1.7745 6.1731 10.3054
O 1.7745 3.3979 5.7009
O 1.7745 2.7859 2.6637
O 1.7745 1.7101 9.4111
O 1.7745 0.1276 6.8444
O 1.7745 -0.1276 1.1459
O 1.7745 -1.7101 3.7126
O 1.7745 -2.7859 8.3622
O 1.7745 -3.3979 0.0024
O 1.7745 -6.1731 4.6069
CELL_PARAMETERS angstrom
1.7745 -7.1680 0.0000
1.7745 7.1680 0.0000
0.0000 0.0000 11.3970
```


[19]
VASP calculation (GGA-PBE) on a relaxed BaTlAg2F6 crystal. Values from VASP.

Space group = P2_1/c, No. 14
Fermi-level density of states = 8.887 states/eV per cell
Magnetization = 0.0 μB per formula unit
E_form (uncorrected) = -20.00 eV/f.u.

```
&SYSTEM
  ibrav = 0, nat = 20, ntyp = 4
/
ATOMIC_SPECIES
Ba 137.33 Ba.upf
Tl 204.38 Tl.upf
Ag 107.87 Ag.upf
F 19.00 F.upf
ATOMIC_POSITIONS angstrom
Ba 0.0000 0.0000 0.0000
Ba -3.1819 3.2375 4.6110
Tl 0.0063 0.0000 4.6110
Tl 3.1882 3.2375 0.0000
Ag -3.1902 0.2929 6.9053
Ag -0.0082 2.9446 2.2943
Ag 0.0208 3.5304 6.9276
Ag 3.2027 6.1821 2.3166
F -0.8697 0.7636 2.4035
F -4.0516 2.4739 7.0145
F 1.1288 4.2315 0.6846
F -2.0531 5.4810 5.2956
F 2.2393 1.1680 0.7494
F -0.9426 2.0696 5.3603
F 0.9551 4.4055 3.8616
F -2.2268 5.3071 8.4726
F 2.0656 0.9940 3.9264
F -1.1163 2.2435 8.5373
F 4.0641 4.0011 2.2075
F 0.8822 5.7114 6.8185
CELL_PARAMETERS angstrom
6.3764 0.0000 0.0000
0.0000 6.4750 0.0000
-6.3639 0.0000 9.2219
```


[20]
VASP calculation (GGA-PBE) on a relaxed Li2TePb crystal. Values from VASP.

Space group = Fm-3m, No. 225
Fermi-level density of states = 1.908 states/eV per cell
Magnetization = 0.0 μB per formula unit
E_form (uncorrected) = -1.55 eV/f.u.
Distance to the lowest polymorph of the same formula = 0.53 eV per formula unit

```
&SYSTEM
  ibrav = 0, nat = 4, ntyp = 3
/
ATOMIC_SPECIES
Li 6.94 Li.upf
Te 127.60 Te.upf
Pb 207.20 Pb.upf
ATOMIC_POSITIONS angstrom
Li 1.7957 1.7957 1.7957
Li 5.3870 5.3870 5.3870
Te 0.0000 0.0000 0.0000
Pb 3.5914 3.5914 3.5914
CELL_PARAMETERS angstrom
0.0000 3.5914 3.5914
3.5914 0.0000 3.5914
3.5914 3.5914 0.0000
```